No. 1
ReSb2Os GGA-PBE optimized geometry; energy relative to the elements, uncorrected = 2.53 eV per formula unit; excess energy over the best structure of this formula in the dataset = 345 meV/atom; ρ = 14.27 g/cm3
1.0
4.278 -1.577 0.000
4.278 1.577 0.000
-1.158 0.000 5.347
Re Sb Os
1 2 1
Direct
0.000 0.000 0.000 Re
0.250 0.250 0.752 Sb
0.750 0.750 0.248 Sb
0.500 0.500 0.500 Os

---

No. 2
Na2Np2PS2 GGA-PBE optimized geometry; energy relative to the elements, uncorrected = -4.45 eV per formula unit; ρ = 5.27 g/cm3
1.0
-2.604 2.604 7.146
2.604 -2.604 7.146
2.604 2.604 -7.146
Na Np P S
2 2 1 2
Direct
0.200 0.200 0.000 Na
0.800 0.800 0.000 Na
0.000 0.500 0.500 Np
0.500 0.000 0.500 Np
0.000 0.000 0.000 P
0.388 0.388 0.000 S
0.612 0.612 0.000 S

---

No. 3
Cr2CoSiOs GGA-PBE optimized geometry; energy relative to the elements, uncorrected = 6.29 eV per formula unit; ρ = 7.89 g/cm3
1.0
4.248 0.000 0.000
0.000 4.248 0.000
0.000 0.000 4.446
Cr Co Si Os
2 1 1 1
Direct
0.000 0.500 0.000 Cr
0.500 0.000 0.000 Cr
0.000 0.000 0.000 Co
0.500 0.500 0.500 Si
0.000 0.000 0.500 Os

---

No. 4
SrGa2I GGA-PBE optimized geometry; energy relative to the elements, uncorrected = -0.69 eV per formula unit; excess energy over the best structure of this formula in the dataset = 0 meV/atom; ρ = 4.50 g/cm3
1.0
-4.546 4.546 3.160
4.546 -4.546 3.160
4.546 4.546 -3.160
Sr Ga I
2 4 2
Direct
0.000 0.000 0.000 Sr
0.750 0.250 0.500 Sr
0.137 0.625 0.012 Ga
0.375 0.387 0.512 Ga
0.613 0.125 0.988 Ga
0.875 0.863 0.488 Ga
0.250 0.750 0.500 I
0.500 0.500 0.000 I

---

The lowest energy relative to the elements, uncorrected belongs to which entry?
Na2Np2PS2